Below is a geometry-optimized AlPd2 structure, with properties calculated at the PBE-GGA level.

Calculated values
Space group   No. 227
E_tot   -4.854 eV per atom

Geometry as extended XYZ:
```
6
Lattice="0.000 3.664 3.664 3.664 0.000 3.664 3.664 3.664 0.000" Properties=species:S:1:pos:R:3 pbc="T T T"
Pd 2.748 4.580 2.748
Pd 4.580 2.748 2.748
Pd 4.580 4.580 4.580
Pd 2.748 2.748 4.580
Al 0.000 0.000 0.000
Al 1.832 1.832 1.832
```

---

Below is a geometry-optimized HfCuIr structure, with properties calculated at the PBE-GGA level.

Calculated values
Space group   No. 216
M_tot   0.00 μB/cell
E_tot   -7.548 eV per atom
ΔE_f   -0.039 eV/atom
ΔE to the lowest computed polymorph   246.0 meV per atom

Geometry as extended XYZ:
```
3
Lattice="-0.773 -4.033 1.332 -1.304 -0.723 4.052 -4.051 -1.280 0.768" Properties=species:S:1:pos:R:3 pbc="T T T"
Hf -3.064 -3.018 3.076
Ir -1.532 -1.509 1.538
Cu -4.596 -4.527 4.614
```

---

Below is a geometry-optimized AcPaPO structure, with properties calculated at the PBE-GGA level.

Calculated values
Space group   No. 51
M_tot   2.09 μB/cell
E_tot   -7.261 eV per atom
ΔE to the lowest computed polymorph   96.6 meV per atom

Geometry as extended XYZ:
```
8
Lattice="4.290 0.000 0.000 0.000 8.330 0.000 0.000 0.000 5.704" Properties=species:S:1:pos:R:3 pbc="T T T"
P 0.000 5.328 5.353
P 0.000 3.003 2.501
Pa 0.000 2.570 5.351
Pa 0.000 5.760 2.499
Ac 2.145 7.306 5.355
Ac 2.145 1.025 2.503
O 2.145 1.634 5.353
O 2.145 6.697 2.501
```

---

Below is a geometry-optimized CdFeOsPb structure, with properties calculated at the PBE-GGA level.

Calculated values
Space group   No. 216
M_tot   2.76 μB/cell
E_tot   -5.242 eV per atom
ΔE to the lowest computed polymorph   0.0 meV per atom

Geometry as extended XYZ:
```
4
Lattice="0.000 3.276 3.276 3.276 0.000 3.276 3.276 3.276 0.000" Properties=species:S:1:pos:R:3 pbc="T T T"
Os 1.638 1.638 1.638
Fe 4.913 4.913 4.913
Pb 0.000 0.000 0.000
Cd 3.276 3.276 3.276
```

---

Below is a geometry-optimized DyNi3P2 structure, with properties calculated at the PBE-GGA level.

Calculated values
Space group   No. 164
M_tot   0.01 μB/cell
E_tot   -6.202 eV per atom

Geometry as extended XYZ:
```
6
Lattice="3.853 0.000 0.000 -1.927 3.337 0.000 0.000 0.000 6.381" Properties=species:S:1:pos:R:3 pbc="T T T"
Ni 0.000 2.225 4.270
Ni 1.927 1.112 2.111
Ni 0.000 0.000 3.190
P 0.000 2.225 1.841
P 1.927 1.112 4.540
Dy 0.000 0.000 0.000
```

---

Below is a geometry-optimized Ge2PdSe structure, with properties calculated at the PBE-GGA level.

Calculated values
Space group   No. 11
E_tot   -4.621 eV per atom

Geometry as extended XYZ:
```
8
Lattice="-6.108 -0.128 -1.298 0.677 -1.848 -3.001 -0.450 -5.962 3.570" Properties=species:S:1:pos:R:3 pbc="T T T"
Se -4.823 -6.459 1.818
Se -1.058 -1.478 -2.547
Pd -5.039 -3.456 -0.081
Pd -0.842 -4.482 -0.648
Ge -3.344 -5.334 -0.688
Ge -5.180 -2.796 -2.665
Ge -2.537 -2.604 -0.041
Ge -0.701 -5.142 1.936
```

---

Below is a geometry-optimized Hg2MoAu structure, with properties calculated at the PBE-GGA level.

Calculated values
Space group   No. 216
M_tot   2.35 μB/cell
E_tot   -3.071 eV per atom
ΔE_f   0.606 eV/atom

Geometry as extended XYZ:
```
4
Lattice="0.000 3.376 3.376 3.376 0.000 3.376 3.376 3.376 0.000" Properties=species:S:1:pos:R:3 pbc="T T T"
Mo 3.376 3.376 3.376
Hg 1.688 1.688 1.688
Hg 0.000 0.000 0.000
Au 5.064 5.064 5.064
```

---

Below is a geometry-optimized Zr4GaAsN2 structure, with properties calculated at the PBE-GGA level.

Calculated values
Space group   No. 187
M_tot   0.00 μB/cell
E_tot   -8.545 eV per atom

Geometry as extended XYZ:
```
8
Lattice="3.359 0.000 0.000 -1.680 2.909 0.000 0.000 0.000 13.211" Properties=species:S:1:pos:R:3 pbc="T T T"
N 1.680 0.970 3.411
N 1.680 0.970 9.800
Zr 0.000 0.000 11.006
Zr 0.000 0.000 2.205
Zr 0.000 1.939 4.688
Zr 0.000 1.939 8.523
Ga 0.000 1.939 0.000
As 0.000 0.000 6.606
```

---

Below is a geometry-optimized PmTlCu structure, with properties calculated at the PBE-GGA level.

Calculated values
Space group   No. 216
M_tot   0.48 μB/cell
E_tot   -3.455 eV per atom
ΔE to the lowest computed polymorph   0.0 meV per atom

Geometry as extended XYZ:
```
3
Lattice="0.000 3.432 3.432 3.432 0.000 3.432 3.432 3.432 0.000" Properties=species:S:1:pos:R:3 pbc="T T T"
Pm 5.148 5.148 5.148
Tl 0.000 0.000 0.000
Cu 1.716 1.716 1.716
```

---

Below is a geometry-optimized CsTbPrTe3 structure, with properties calculated at the PBE-GGA level.

Calculated values
Space group   No. 63
M_tot   1.05 μB/cell
E_tot   -4.520 eV per atom
ΔE to the lowest computed polymorph   37.8 meV per atom

Geometry as extended XYZ:
```
12
Lattice="2.629 -8.839 0.000 2.629 8.839 0.000 0.000 0.000 10.902" Properties=species:S:1:pos:R:3 pbc="T T T"
Te 2.629 -1.686 8.177
Te 2.629 1.686 2.726
Te 2.629 6.922 5.049
Te 2.629 -6.922 10.500
Te 2.629 -6.922 5.853
Te 2.629 6.922 0.402
Pr 2.629 8.634 8.177
Pr 2.629 -8.634 2.726
Cs 2.629 -4.075 2.726
Cs 2.629 4.075 8.177
Tb 2.629 0.000 0.000
Tb 2.629 0.000 5.451
```

---

Below is a geometry-optimized Rb3ErF6 structure, with properties calculated at the PBE-GGA level.

Calculated values
Space group   No. 225
M_tot   0.00 μB/cell
E_tot   -5.134 eV per atom

Geometry as extended XYZ:
```
10
Lattice="-1.538 -6.308 0.873 -6.273 -1.887 -0.105 -2.271 -3.543 -5.021" Properties=species:S:1:pos:R:3 pbc="T T T"
F -5.710 -3.705 -1.028
F -3.536 -4.605 -3.699
F -6.546 -7.133 -0.553
F -3.138 -6.107 -0.496
F -6.945 -5.630 -3.756
F -4.372 -8.033 -3.224
Rb -7.562 -8.803 -3.189
Rb -2.521 -2.934 -1.063
Rb -5.041 -5.869 -2.126
Er 0.000 0.000 0.000
```

---

Below is a geometry-optimized TaCo2 structure, with properties calculated at the PBE-GGA level.

Calculated values
Space group   No. 136
M_tot   10.19 μB/cell
E_tot   -8.831 eV per atom
ΔE_f   -0.143 eV/atom

Geometry as extended XYZ:
```
30
Lattice="9.045 0.000 0.000 0.000 9.045 0.000 0.000 0.000 4.737" Properties=species:S:1:pos:R:3 pbc="T T T"
Ta 3.176 8.686 2.368
Ta 4.164 1.346 0.000
Ta 0.000 0.000 0.000
Ta 8.686 3.176 2.368
Ta 5.869 0.359 2.368
Ta 0.359 5.869 2.368
Ta 4.881 7.698 0.000
Ta 4.522 4.522 2.368
Ta 7.698 4.881 0.000
Ta 1.346 4.164 0.000
Co 2.376 8.410 0.000
Co 6.216 2.828 3.561
Co 6.898 5.157 2.368
Co 5.367 5.367 0.000
Co 6.669 0.635 0.000
Co 8.410 2.376 0.000
Co 5.157 6.898 2.368
Co 2.828 6.216 3.561
Co 1.694 1.694 3.544
Co 7.351 7.351 1.192
Co 3.888 2.147 2.368
Co 0.844 8.200 2.368
Co 7.351 7.351 3.544
Co 0.635 6.669 0.000
Co 2.828 6.216 1.176
Co 3.678 3.678 0.000
Co 8.200 0.844 2.368
Co 6.216 2.828 1.176
Co 2.147 3.888 2.368
Co 1.694 1.694 1.192
```